# 1
# PBE-GGA UCuNi, relaxed
# E_form: 0.5144 eV per atom
# relative energy among the computed polymorphs: 0.0 meV per atom
data_UCuNi
_symmetry_space_group_name_H-M 'F -4 3 m'
_symmetry_Int_Tables_number 216
_symmetry_space_group_name_Hall 'F -4 2 3'
_cell_length_a 6.075
_cell_length_b 6.075
_cell_length_c 6.075
_cell_angle_alpha 90.00
_cell_angle_beta 90.00
_cell_angle_gamma 90.00
loop_
_atom_site_label
_atom_site_type_symbol
_atom_site_fract_x
_atom_site_fract_y
_atom_site_fract_z
U1 U 0.000 0.000 0.000
Cu1 Cu 0.250 0.250 0.750
Ni1 Ni 0.000 0.000 0.500

# 2
# PBE-GGA NbTl2PbF6, relaxed
# electronic total energy: -4.9189 eV per atom
data_NbTl2PbF6
_symmetry_space_group_name_H-M 'F m -3 m'
_symmetry_Int_Tables_number 225
_symmetry_space_group_name_Hall '-F 4 2 3'
_cell_length_a 8.940
_cell_length_b 8.940
_cell_length_c 8.940
_cell_angle_alpha 90.00
_cell_angle_beta 90.00
_cell_angle_gamma 90.00
loop_
_atom_site_label
_atom_site_type_symbol
_atom_site_fract_x
_atom_site_fract_y
_atom_site_fract_z
Nb1 Nb 0.000 0.000 0.000
Tl1 Tl 0.250 0.250 0.250
Pb1 Pb 0.000 0.000 0.500
F1 F 0.000 0.000 0.233